# Al2CoCuAu PBE-GGA relaxed
# Energy   -3.56 eV/atom
# Mass density   5.8 g cm⁻³
# Calculated volume   21.43 Å³/atom
# ΔH_f (0 K)   0.83 eV per atom
data_Al2CoCuAu
_chemical_formula_sum 'Al2 Co1 Cu1 Au1'
_space_group_name_H-M_alt 'P 4/m m m'
_space_group_IT_number 123
_space_group_name_Hall '-P 4 2'
_cell_length_a 4.7287
_cell_length_b 4.7287
_cell_length_c 4.7909
_cell_angle_alpha 90.00
_cell_angle_beta 90.00
_cell_angle_gamma 90.00
loop_
_atom_site_label
_atom_site_fract_x
_atom_site_fract_y
_atom_site_fract_z
Al1 0.0000 0.5000 0.0000
Co1 0.0000 0.0000 0.5000
Cu1 0.5000 0.5000 0.5000
Au1 0.5000 0.5000 0.0000